[1]
VASP calculation (PBE-GGA) on a relaxed Ac4AsSe2S crystal.

a = 4.440 Å, b = 7.676 Å, c = 7.754 Å
α = 109.27°, β = 90.00°, γ = 90.00°
Fractional positions:
S (0.500, 0.500, 0.000)
Se (0.000, 0.500, 0.500)
Se (0.500, 0.000, 0.500)
As (0.000, 0.000, 0.000)
Ac (0.500, 0.750, 0.761)
Ac (0.000, 0.743, 0.236)
Ac (0.500, 0.250, 0.239)
Ac (0.000, 0.257, 0.764)

- formation energy (no corrections) (meV per atom) = -1835
- SG = P2/m, No. 10

=====

[2]
VASP calculation (PBE-GGA) on a relaxed Ac4As2SeS crystal.

a = 6.327 Å, b = 6.327 Å, c = 7.738 Å
α = 114.13°, β = 114.13°, γ = 90.00°
Fractional positions:
As (0.687, 0.187, 0.500)
As (0.187, 0.687, 0.500)
Ac (0.937, 0.437, 0.000)
Ac (0.192, 0.192, 0.510)
Ac (0.437, 0.937, 0.000)
Ac (0.682, 0.682, 0.490)
Se (0.937, 0.937, 0.000)
S (0.437, 0.437, 0.000)

- formation energy (no corrections) (meV per atom) = -1752
- SG = I4/mmm, No. 139

=====

[3]
VASP calculation (PBE-GGA) on a relaxed Ac6AsSe3S2 crystal.

a = 7.646 Å, b = 7.646 Å, c = 7.720 Å
α = 99.48°, β = 99.48°, γ = 120.02°
Fractional positions:
Ac (0.921, 0.585, 0.763)
Ac (0.415, 0.079, 0.237)
Ac (0.258, 0.258, 0.764)
Ac (0.585, 0.921, 0.763)
Ac (0.742, 0.742, 0.236)
Ac (0.079, 0.415, 0.237)
Se (0.835, 0.165, 0.500)
Se (0.500, 0.500, 0.500)
Se (0.165, 0.835, 0.500)
S (0.333, 0.667, 0.000)
S (0.667, 0.333, 0.000)
As (0.000, 0.000, 0.000)

- formation energy (no corrections) (meV per atom) = -1870
- SG = C2/m, No. 12

=====

[4]
VASP calculation (PBE-GGA) on a relaxed Ac8As3SeS4 crystal.

a = 8.870 Å, b = 8.817 Å, c = 8.871 Å
α = 120.20°, β = 120.00°, γ = 90.00°
Fractional positions:
Ac (0.249, 0.247, 0.498)
Ac (0.253, 0.244, 0.998)
Ac (0.746, 0.244, 0.491)
Ac (0.751, 0.753, 0.502)
Ac (0.254, 0.756, 0.509)
Ac (0.746, 0.244, 0.998)
Ac (0.747, 0.756, 0.002)
Ac (0.254, 0.756, 0.002)
S (0.000, 0.000, 0.000)
S (0.000, 0.000, 0.500)
S (0.500, 0.000, 0.000)
S (0.500, 0.000, 0.500)
Se (0.000, 0.500, 0.000)
As (0.000, 0.500, 0.500)
As (0.500, 0.500, 0.500)
As (0.500, 0.500, 0.000)

- formation energy (no corrections) (meV per atom) = -1820
- SG = R-3m, No. 166

=====

[5]
VASP calculation (PBE-GGA) on a relaxed Ac6Si2AsS3 crystal.

a = 4.492 Å, b = 8.885 Å, c = 9.951 Å
α = 101.98°, β = 103.04°, γ = 90.00°
Fractional positions:
As (0.500, 0.000, 0.000)
S (0.835, 0.166, 0.669)
S (0.500, 0.500, 0.000)
S (0.165, 0.834, 0.331)
Ac (0.998, 0.749, 0.997)
Ac (0.002, 0.251, 0.003)
Ac (0.333, 0.913, 0.665)
Ac (0.668, 0.581, 0.335)
Ac (0.667, 0.087, 0.335)
Ac (0.332, 0.419, 0.665)
Si (0.834, 0.668, 0.669)
Si (0.166, 0.332, 0.331)

- formation energy (no corrections) (meV per atom) = -1461
- SG = C2/m, No. 12

=====

[6]
VASP calculation (PBE-GGA) on a relaxed Ac8SiAs3S4 crystal.

a = 8.932 Å, b = 8.857 Å, c = 8.932 Å
α = 120.28°, β = 120.00°, γ = 90.00°
Fractional positions:
Ac (0.249, 0.749, 0.497)
Ac (0.752, 0.251, 0.999)
Ac (0.750, 0.750, 0.500)
Ac (0.250, 0.250, 0.500)
Ac (0.247, 0.251, 0.999)
Ac (0.248, 0.749, 0.001)
Ac (0.751, 0.251, 0.503)
Ac (0.753, 0.749, 0.001)
S (0.500, 0.000, 0.000)
S (0.000, 0.000, 0.500)
S (0.500, 0.000, 0.500)
S (0.000, 0.000, 0.000)
As (0.000, 0.500, 0.500)
As (0.500, 0.500, 0.500)
As (0.500, 0.500, 0.000)
Si (0.000, 0.500, 0.000)

- formation energy (no corrections) (meV per atom) = -1675
- SG = C2/m, No. 12

=====

[7]
VASP calculation (PBE-GGA) on a relaxed Ac4SiAsS2 crystal.

a = 4.480 Å, b = 7.656 Å, c = 7.762 Å
α = 70.26°, β = 90.00°, γ = 90.00°
Fractional positions:
Ac (0.500, 0.748, 0.253)
Ac (0.000, 0.748, 0.748)
Ac (0.500, 0.252, 0.747)
Ac (0.000, 0.252, 0.252)
S (0.000, 0.000, 0.000)
S (0.500, 0.000, 0.500)
Si (0.000, 0.500, 0.500)
As (0.500, 0.500, 0.000)

- formation energy (no corrections) (meV per atom) = -1549
- SG = P2/m, No. 10

=====

[8]
VASP calculation (PBE-GGA) on a relaxed AcSnAsS crystal.

a = 5.343 Å, b = 5.343 Å, c = 8.081 Å
α = 90.00°, β = 90.00°, γ = 90.00°
Fractional positions:
Sn (0.000, 0.000, 0.000)
Sn (0.500, 0.500, 0.000)
S (0.500, 0.500, 0.500)
S (0.000, 0.000, 0.500)
Ac (0.000, 0.500, 0.338)
Ac (0.500, 0.000, 0.662)
As (0.500, 0.000, 0.109)
As (0.000, 0.500, 0.891)

- formation energy (no corrections) (meV per atom) = -1024
- SG = P4/nmm, No. 129

=====

[9]
VASP calculation (PBE-GGA) on a relaxed Ac2TbAs2S2 crystal.

a = 5.324 Å, b = 5.324 Å, c = 8.510 Å
α = 108.23°, β = 108.23°, γ = 90.00°
Fractional positions:
Ac (0.366, 0.366, 0.732)
Ac (0.634, 0.634, 0.268)
As (0.000, 0.500, 0.000)
As (0.500, 0.000, 0.000)
Tb (0.000, 0.000, 0.000)
S (0.819, 0.819, 0.638)
S (0.181, 0.181, 0.362)

- formation energy (no corrections) (meV per atom) = -1350
- SG = I4/mmm, No. 139

=====

[10]
VASP calculation (PBE-GGA) on a relaxed AcTbAsS crystal.

a = 4.142 Å, b = 4.141 Å, c = 7.789 Å
α = 90.01°, β = 105.41°, γ = 120.00°
Fractional positions:
S (0.981, 0.389, 0.384)
Tb (0.478, 0.137, 0.630)
Ac (0.130, 0.963, 0.108)
As (0.289, 0.543, 0.847)

- formation energy (no corrections) (meV per atom) = -1613
- SG = R3m, No. 160

=====

[11]
VASP calculation (PBE-GGA) on a relaxed Ac6TeAs2S3 crystal.

a = 4.458 Å, b = 8.943 Å, c = 9.953 Å
α = 102.39°, β = 102.94°, γ = 90.00°
Fractional positions:
S (0.165, 0.833, 0.329)
S (0.835, 0.167, 0.671)
S (0.500, 0.500, 0.000)
Te (0.500, 0.000, 0.000)
As (0.834, 0.668, 0.667)
As (0.166, 0.332, 0.333)
Ac (0.333, 0.416, 0.667)
Ac (0.325, 0.913, 0.651)
Ac (0.667, 0.584, 0.333)
Ac (0.000, 0.272, 0.000)
Ac (0.675, 0.087, 0.349)
Ac (0.000, 0.728, 0.000)

- formation energy (no corrections) (meV per atom) = -1760
- SG = C2/m, No. 12

=====

[12]
VASP calculation (PBE-GGA) on a relaxed Ac6Te2As3S crystal.

a = 4.557 Å, b = 9.203 Å, c = 10.258 Å
α = 103.51°, β = 102.83°, γ = 90.00°
Fractional positions:
Ac (0.660, 0.599, 0.321)
Ac (0.006, 0.754, 0.012)
Ac (0.994, 0.246, 0.988)
Ac (0.340, 0.401, 0.679)
Ac (0.335, 0.933, 0.669)
Ac (0.665, 0.067, 0.331)
Te (0.834, 0.666, 0.667)
Te (0.166, 0.334, 0.333)
As (0.831, 0.164, 0.663)
As (0.169, 0.836, 0.337)
As (0.500, 0.500, 0.000)
S (0.500, 0.000, 0.000)

- formation energy (no corrections) (meV per atom) = -1610
- SG = C2/m, No. 12

=====

[13]
VASP calculation (PBE-GGA) on a relaxed Ac8Te4AsS3 crystal.

a = 8.998 Å, b = 9.230 Å, c = 8.998 Å
α = 119.18°, β = 120.00°, γ = 90.00°
Fractional positions:
As (0.000, 0.500, 0.000)
Ac (0.240, 0.716, 0.481)
Ac (0.738, 0.713, 0.476)
Ac (0.240, 0.716, 0.975)
Ac (0.735, 0.716, 0.975)
Ac (0.760, 0.284, 0.025)
Ac (0.760, 0.284, 0.519)
Ac (0.262, 0.287, 0.524)
Ac (0.265, 0.284, 0.025)
Te (0.500, 0.000, 0.000)
Te (0.500, 0.000, 0.500)
Te (0.000, 0.000, 0.500)
Te (0.000, 0.000, 0.000)
S (0.500, 0.500, 0.000)
S (0.500, 0.500, 0.500)
S (0.000, 0.500, 0.500)

- formation energy (no corrections) (meV per atom) = -1701
- SG = R-3m, No. 166

=====

[14]
VASP calculation (PBE-GGA) on a relaxed Ac4Te2AsS crystal.

a = 4.530 Å, b = 7.822 Å, c = 8.129 Å
α = 108.81°, β = 90.00°, γ = 90.00°
Fractional positions:
Ac (0.500, 0.243, 0.219)
Ac (0.000, 0.736, 0.217)
Ac (0.000, 0.264, 0.783)
Ac (0.500, 0.757, 0.781)
Te (0.500, 0.000, 0.500)
Te (0.000, 0.500, 0.500)
S (0.500, 0.500, 0.000)
As (0.000, 0.000, 0.000)

- formation energy (no corrections) (meV per atom) = -1652
- SG = P2/m, No. 10

=====

[15]
VASP calculation (PBE-GGA) on a relaxed Ac6Te3AsS2 crystal.

a = 7.798 Å, b = 7.798 Å, c = 8.093 Å
α = 99.26°, β = 99.26°, γ = 119.97°
Fractional positions:
Te (0.500, 0.500, 0.500)
Te (0.165, 0.835, 0.500)
Te (0.835, 0.165, 0.500)
S (0.333, 0.667, 0.000)
S (0.667, 0.333, 0.000)
Ac (0.928, 0.591, 0.783)
Ac (0.265, 0.265, 0.784)
Ac (0.735, 0.735, 0.216)
Ac (0.409, 0.072, 0.217)
Ac (0.591, 0.928, 0.783)
Ac (0.072, 0.409, 0.217)
As (0.000, 0.000, 0.000)

- formation energy (no corrections) (meV per atom) = -1685
- SG = C2/m, No. 12

=====

[16]
VASP calculation (PBE-GGA) on a relaxed AcThAsS crystal.

a = 4.177 Å, b = 4.178 Å, c = 7.806 Å
α = 90.00°, β = 105.53°, γ = 120.00°
Fractional positions:
S (0.144, 0.970, 0.129)
Th (0.960, 0.378, 0.352)
Ac (0.315, 0.556, 0.886)
As (0.459, 0.128, 0.602)

- formation energy (no corrections) (meV per atom) = -1558
- SG = R3m, No. 160

=====

[17]
VASP calculation (PBE-GGA) on a relaxed AcTl2As2S6 crystal.

a = 7.319 Å, b = 6.905 Å, c = 8.623 Å
α = 112.79°, β = 90.00°, γ = 122.01°
Fractional positions:
As (0.960, 0.919, 0.811)
As (0.040, 0.081, 0.189)
Tl (0.305, 0.609, 0.835)
Tl (0.695, 0.391, 0.165)
S (0.833, 0.150, 0.802)
S (0.228, 0.456, 0.429)
S (0.683, 0.850, 0.198)
S (0.167, 0.850, 0.198)
S (0.317, 0.150, 0.802)
S (0.772, 0.544, 0.571)
Ac (0.500, 0.000, 0.500)

- formation energy (no corrections) (meV per atom) = -563
- SG = C2/m, No. 12

=====

[18]
VASP calculation (PBE-GGA) on a relaxed Ac2TmAs2S2 crystal.

a = 5.229 Å, b = 5.229 Å, c = 8.525 Å
α = 107.86°, β = 107.86°, γ = 90.00°
Fractional positions:
S (0.179, 0.179, 0.358)
S (0.821, 0.821, 0.642)
As (0.000, 0.500, 0.000)
As (0.500, 0.000, 0.000)
Tm (0.000, 0.000, 0.000)
Ac (0.364, 0.364, 0.727)
Ac (0.636, 0.636, 0.273)

- formation energy (no corrections) (meV per atom) = -1385
- SG = I4/mmm, No. 139

=====

[19]
VASP calculation (PBE-GGA) on a relaxed AcYAsS crystal.

a = 4.232 Å, b = 4.232 Å, c = 7.330 Å
α = 73.22°, β = 73.22°, γ = 60.00°
Fractional positions:
Ac (0.250, 0.250, 0.251)
Y (0.750, 0.750, 0.749)
S (0.492, 0.492, 0.525)
As (0.008, 0.008, 0.975)

- formation energy (no corrections) (meV per atom) = -1761
- SG = R3m, No. 160

=====

[20]
VASP calculation (PBE-GGA) on a relaxed AcZnAsS crystal.

a = 4.593 Å, b = 4.593 Å, c = 11.918 Å
α = 78.89°, β = 78.89°, γ = 60.00°
Fractional positions:
S (0.197, 0.197, 0.409)
S (0.803, 0.803, 0.591)
As (0.621, 0.621, 0.138)
As (0.379, 0.379, 0.862)
Ac (0.893, 0.893, 0.321)
Ac (0.107, 0.107, 0.679)
Zn (0.694, 0.694, 0.918)
Zn (0.306, 0.306, 0.082)

- formation energy (no corrections) (meV per atom) = -1168
- SG = R-3m, No. 166

=====

| no. | spin magnetization (μB/cell) | VASP energy (hartree per atom) |
| --- | --- | --- |
| 1 | 0.0 | -0.215 |
| 2 | 0.0 | -0.218 |
| 3 | 0.0 | -0.216 |
| 4 | 0.0 | -0.220 |
| 5 | 0.0 | -0.215 |
| 6 | 0.0 | -0.219 |
| 7 | 0.0 | -0.217 |
| 8 | 0.0 | -0.193 |
| 9 | 0.0 | -0.209 |
| 10 | 0.0 | -0.220 |
| 11 | 0.0 | -0.216 |
| 12 | 0.0 | -0.209 |
| 13 | 0.0 | -0.206 |
| 14 | 0.0 | -0.205 |
| 15 | 0.0 | -0.206 |
| 16 | 0.0 | -0.244 |
| 17 | 0.0 | -0.164 |
| 18 | 0.0 | -0.210 |
| 19 | 0.0 | -0.242 |
| 20 | 0.0 | -0.173 |